Entry 1:
4
Lattice="0.000 3.290 3.290 3.290 0.000 3.290 3.290 3.290 0.000" Properties=species:S:1:pos:R:3 comment="NbCuPdPb | the Open Quantum Materials Database | PBE | optimized geometry" relative_energy_mev_per_atom=6 spacegroup="No. 216" pbc="T T T"
Nb 0.000 0.000 0.000
Cu 3.290 3.290 3.290
Pd 4.936 4.936 4.936
Pb 1.645 1.645 1.645

=====

Entry 2:
4
Lattice="0.000 3.299 3.299 3.299 0.000 3.299 3.299 3.299 0.000" Properties=species:S:1:pos:R:3 comment="NbCuPtPb | the Open Quantum Materials Database | PBE | optimized geometry" relative_energy_mev_per_atom=21 spacegroup="No. 216" pbc="T T T"
Nb 0.000 0.000 0.000
Cu 4.949 4.949 4.949
Pt 1.650 1.650 1.650
Pb 3.299 3.299 3.299

=====

Entry 3:
4
Lattice="0.000 3.292 3.292 3.292 0.000 3.292 3.292 3.292 0.000" Properties=species:S:1:pos:R:3 comment="NbCuPtPb | the Open Quantum Materials Database | PBE | optimized geometry" relative_energy_mev_per_atom=0 spacegroup="No. 216" pbc="T T T"
Nb 0.000 0.000 0.000
Cu 3.292 3.292 3.292
Pt 4.937 4.937 4.937
Pb 1.646 1.646 1.646

=====

Entry 4:
4
Lattice="0.000 3.508 3.508 3.508 0.000 3.508 3.508 3.508 0.000" Properties=species:S:1:pos:R:3 comment="YNbCuPb | the Open Quantum Materials Database | PBE | optimized geometry" relative_energy_mev_per_atom=0 spacegroup="No. 216" pbc="T T T"
Y 0.000 0.000 0.000
Nb 1.754 1.754 1.754
Cu 5.263 5.263 5.263
Pb 3.508 3.508 3.508

=====

Entry 5:
4
Lattice="0.000 3.408 3.408 3.408 0.000 3.408 3.408 3.408 0.000" Properties=species:S:1:pos:R:3 comment="ZrNbCuPb | the Open Quantum Materials Database | PBE | optimized geometry" relative_energy_mev_per_atom=0 spacegroup="No. 216" pbc="T T T"
Zr 0.000 0.000 0.000
Nb 1.704 1.704 1.704
Cu 5.112 5.112 5.112
Pb 3.408 3.408 3.408

=====

Entry 6:
8
Lattice="4.454 0.000 0.000 0.000 5.597 0.000 0.000 0.000 4.575" Properties=species:S:1:pos:R:3 comment="NbCu2Pd | the Open Quantum Materials Database | PBE | optimized geometry" spacegroup="No. 59" delta_e_f_ev_per_atom=-0.089 pbc="T T T"
Nb 1.113 1.399 0.729
Nb 3.340 4.197 3.846
Cu 1.113 2.813 3.015
Cu 1.113 5.582 3.015
Cu 3.340 0.014 1.560
Cu 3.340 2.784 1.560
Pd 1.113 4.197 0.771
Pd 3.340 1.399 3.805

=====

The spin magnetization results, record by record, are as follows: 0.26, 0.60, 0.40, 2.24, 0.57, 0.01 Bohr magnetons per cell.